Material: La2ZnHg
Method: DFT, GGA-PBE
State: relaxed

abc: 3.442 5.648 12.940
angles: 90.00 90.00 90.00
Space group Immm (No. 71)
Asymmetric unit:
La1 0.000 0.000 0.234
Zn1 0.000 0.000 0.000
Hg1 0.000 0.000 0.500

Its crystal system is orthorhombic. As for the total energy: -2.540 eV per atom. The formation energy comes out at 0.3181 eV per atom.